The following is a DFT calculation (GGA-PBE) of a relaxed structure of HoEr4In2.

## Properties
For the theoretical density, the calculation gives 8.39 Mg/m³. The calculation puts the formation energy at -0.133 eV per atom. For the offset from the most stable computed form, the calculation gives 0 meV/atom. The volume is 421.2 Å³/cell. The space group is P4_2/mnm (136). The magnetization is 0.000 μB/atom.

Lattice parameters (Å, degrees): 4.827 9.340 9.340 90.00 90.00 90.00
Element x y z (fractional)
Ho: 0.500 0.000 0.000
Ho: 0.000 0.500 0.500
Er: 0.000 0.115 0.359
Er: 0.000 0.885 0.641
Er: 0.500 0.141 0.615
Er: 0.500 0.859 0.385
Er: 0.500 0.385 0.859
Er: 0.500 0.615 0.141
Er: 0.000 0.359 0.115
Er: 0.000 0.641 0.885
In: 0.000 0.168 0.832
In: 0.000 0.832 0.168
In: 0.500 0.668 0.668
In: 0.500 0.332 0.332